Below is a relaxed SrZn4Te3O12 crystal, with properties calculated at the GGA-PBE level.

Unit cell a=7.082 b=7.082 c=7.082 alpha=106.97 beta=106.97 gamma=106.97
Sites, in units of the cell vectors:
Sr: 0.000 0.000 0.000
Zn: 0.939 0.061 0.500
Zn: 0.061 0.500 0.939
Zn: 0.500 0.939 0.061
Zn: 0.500 0.500 0.500
Te: 0.555 0.445 0.000
Te: 0.445 0.000 0.555
Te: 0.000 0.555 0.445
O: 0.500 0.333 0.667
O: 0.892 0.500 0.108
O: 0.108 0.892 0.500
O: 0.500 0.108 0.892
O: 0.348 0.974 0.241
O: 0.241 0.348 0.974
O: 0.974 0.241 0.348
O: 0.652 0.759 0.026
O: 0.026 0.652 0.759
O: 0.759 0.026 0.652
O: 0.667 0.500 0.333
O: 0.333 0.667 0.500

Computed properties:
**Formation energy (no corrections)**: -1239.1 meV/atom
**Total magnetization**: 0.00 μB/cell
**SG**: No. 155
**E_tot**: -5.02 eV/atom

=====

Below is a relaxed Sr3Zn2TeO8 crystal, with properties calculated at the GGA-PBE level.

Unit cell a=5.672 b=5.672 c=7.377 alpha=90.00 beta=90.00 gamma=120.00
Sites, in units of the cell vectors:
Sr: 0.333 0.667 0.643
Sr: 0.667 0.333 0.357
Sr: 0.000 0.000 0.000
Zn: 0.333 0.667 0.193
Zn: 0.667 0.333 0.807
Te: 0.000 0.000 0.500
O: 0.333 0.667 0.948
O: 0.667 0.333 0.052
O: 0.160 0.840 0.344
O: 0.840 0.160 0.656
O: 0.160 0.320 0.344
O: 0.840 0.680 0.656
O: 0.680 0.840 0.344
O: 0.320 0.160 0.656

Computed properties:
**Formation energy (no corrections)**: -1879.4 meV/atom
**Total magnetization**: 0.00 μB/cell
**SG**: No. 164
**E_tot**: -5.48 eV/atom

=====

Below is a relaxed SrZrTeO5 crystal, with properties calculated at the GGA-PBE level.

Unit cell a=6.068 b=6.068 c=8.443 alpha=109.11 beta=109.11 gamma=99.60
Sites, in units of the cell vectors:
Sr: 0.311 0.689 0.250
Sr: 0.689 0.311 0.750
Zr: 0.000 0.000 0.500
Zr: 0.000 0.000 0.000
Te: 0.711 0.289 0.250
Te: 0.289 0.711 0.750
O: 0.027 0.973 0.250
O: 0.973 0.027 0.750
O: 0.872 0.313 0.062
O: 0.128 0.687 0.938
O: 0.687 0.128 0.438
O: 0.313 0.872 0.562
O: 0.755 0.631 0.379
O: 0.245 0.369 0.621
O: 0.369 0.245 0.121
O: 0.631 0.755 0.879

Computed properties:
**Formation energy (no corrections)**: -2334.4 meV/atom
**Total magnetization**: 0.00 μB/cell
**SG**: No. 15
**E_tot**: -7.10 eV/atom

=====

What is the E_tot in the second record? -5.48 eV/atom